1.
## CaZrTl2 (PBE-GGA)

Data for crystalline CaZrTl2 at its relaxed geometry.

## Properties
spin magnetization = 0.0 μB/cell
theoretical density = 8.14 g cm⁻³

```
data_CaZrTl2
_symmetry_space_group_name_H-M 'P m m 2'
_symmetry_Int_Tables_number 25
_symmetry_space_group_name_Hall 'P 2 -2'
_cell_length_a 3.574
_cell_length_b 4.987
_cell_length_c 6.183
_cell_angle_alpha 90.00
_cell_angle_beta 90.00
_cell_angle_gamma 90.00
loop_
_atom_site_label
_atom_site_type_symbol
_atom_site_fract_x
_atom_site_fract_y
_atom_site_fract_z
Ca1 Ca 0.000 0.000 0.000
Zr1 Zr 0.500 0.500 0.621
Tl1 Tl 0.000 0.000 0.515
Tl2 Tl 0.500 0.500 0.133
```

2.
## CaZrTl2 (PBE-GGA)

Data for crystalline CaZrTl2 at its relaxed geometry.

## Properties
spin magnetization = 1.6 μB/cell
theoretical density = 8.77 g cm⁻³

```
data_CaZrTl2
_symmetry_space_group_name_H-M 'I 4/m m m'
_symmetry_Int_Tables_number 139
_symmetry_space_group_name_Hall '-I 4 2'
_cell_length_a 4.867
_cell_length_b 4.867
_cell_length_c 8.629
_cell_angle_alpha 90.00
_cell_angle_beta 90.00
_cell_angle_gamma 90.00
loop_
_atom_site_label
_atom_site_type_symbol
_atom_site_fract_x
_atom_site_fract_y
_atom_site_fract_z
Ca1 Ca 0.000 0.000 0.000
Zr1 Zr 0.000 0.000 0.500
Tl1 Tl 0.000 0.500 0.250
```

3.
## CaZrTl2 (PBE-GGA)

Data for crystalline CaZrTl2 at its relaxed geometry.

## Properties
spin magnetization = 0.7 μB/cell
theoretical density = 8.78 g cm⁻³

```
data_CaZrTl2
_symmetry_space_group_name_H-M 'P 4/m m m'
_symmetry_Int_Tables_number 123
_symmetry_space_group_name_Hall '-P 4 2'
_cell_length_a 4.936
_cell_length_b 4.936
_cell_length_c 4.194
_cell_angle_alpha 90.00
_cell_angle_beta 90.00
_cell_angle_gamma 90.00
loop_
_atom_site_label
_atom_site_type_symbol
_atom_site_fract_x
_atom_site_fract_y
_atom_site_fract_z
Ca1 Ca 0.000 0.000 0.000
Zr1 Zr 0.500 0.500 0.000
Tl1 Tl 0.000 0.500 0.500
```

4.
## Ca2ZrTl (PBE-GGA)

Data for crystalline Ca2ZrTl at its relaxed geometry.

## Properties
ΔE to the lowest computed polymorph = 0.041 eV per atom
spin magnetization = 0.6 μB/cell
theoretical density = 5.16 g cm⁻³

```
data_Ca2ZrTl
_symmetry_space_group_name_H-M 'P 1 m 1'
_symmetry_Int_Tables_number 6
_symmetry_space_group_name_Hall 'P -2y'
_cell_length_a 3.548
_cell_length_b 5.171
_cell_length_c 6.819
_cell_angle_alpha 90.00
_cell_angle_beta 105.06
_cell_angle_gamma 90.00
loop_
_atom_site_label
_atom_site_type_symbol
_atom_site_fract_x
_atom_site_fract_y
_atom_site_fract_z
Ca1 Ca 0.000 0.000 0.000
Ca2 Ca 0.332 0.500 0.666
Zr1 Zr 0.723 0.000 0.448
Tl1 Tl 0.609 0.500 0.214
```

5.
## Ca2ZrTl (PBE-GGA)

Data for crystalline Ca2ZrTl at its relaxed geometry.

## Properties
ΔE to the lowest computed polymorph = 0.045 eV per atom
spin magnetization = 1.0 μB/cell
theoretical density = 5.59 g cm⁻³

```
data_Ca2ZrTl
_symmetry_space_group_name_H-M 'P 4/m m m'
_symmetry_Int_Tables_number 123
_symmetry_space_group_name_Hall '-P 4 2'
_cell_length_a 4.711
_cell_length_b 4.711
_cell_length_c 5.030
_cell_angle_alpha 90.00
_cell_angle_beta 90.00
_cell_angle_gamma 90.00
loop_
_atom_site_label
_atom_site_type_symbol
_atom_site_fract_x
_atom_site_fract_y
_atom_site_fract_z
Ca1 Ca 0.000 0.500 0.000
Zr1 Zr 0.000 0.000 0.500
Tl1 Tl 0.500 0.500 0.500
```

6.
## CaZrTl2 (PBE-GGA)

Data for crystalline CaZrTl2 at its relaxed geometry.

## Properties
spin magnetization = 0.0 μB/cell
theoretical density = 8.54 g cm⁻³

```
data_CaZrTl2
_symmetry_space_group_name_H-M 'I -4 m 2'
_symmetry_Int_Tables_number 119
_symmetry_space_group_name_Hall 'I -4 -2'
_cell_length_a 4.398
_cell_length_b 4.398
_cell_length_c 10.862
_cell_angle_alpha 90.00
_cell_angle_beta 90.00
_cell_angle_gamma 90.00
loop_
_atom_site_label
_atom_site_type_symbol
_atom_site_fract_x
_atom_site_fract_y
_atom_site_fract_z
Ca1 Ca 0.000 0.000 0.000
Zr1 Zr 0.000 0.500 0.250
Tl1 Tl 0.000 0.000 0.500
Tl2 Tl 0.000 0.500 0.750
```

7.
## Ca2ZrTl (PBE-GGA)

Data for crystalline Ca2ZrTl at its relaxed geometry.

## Properties
ΔE to the lowest computed polymorph = 0.122 eV per atom
spin magnetization = 2.7 μB/cell
theoretical density = 5.53 g cm⁻³

```
data_Ca2ZrTl
_symmetry_space_group_name_H-M 'I -4 m 2'
_symmetry_Int_Tables_number 119
_symmetry_space_group_name_Hall 'I -4 -2'
_cell_length_a 4.888
_cell_length_b 4.888
_cell_length_c 9.453
_cell_angle_alpha 90.00
_cell_angle_beta 90.00
_cell_angle_gamma 90.00
loop_
_atom_site_label
_atom_site_type_symbol
_atom_site_fract_x
_atom_site_fract_y
_atom_site_fract_z
Ca1 Ca 0.000 0.000 0.000
Ca2 Ca 0.000 0.500 0.250
Zr1 Zr 0.000 0.000 0.500
Tl1 Tl 0.000 0.500 0.750
```

8.
## Ca2ZrTl (PBE-GGA)

Data for crystalline Ca2ZrTl at its relaxed geometry.

## Properties
ΔE to the lowest computed polymorph = 0.092 eV per atom
spin magnetization = 1.6 μB/cell
theoretical density = 5.37 g cm⁻³

```
data_Ca2ZrTl
_symmetry_space_group_name_H-M 'C 1 2/m 1'
_symmetry_Int_Tables_number 12
_symmetry_space_group_name_Hall '-C 2y'
_cell_length_a 6.622
_cell_length_b 10.318
_cell_length_c 3.402
_cell_angle_alpha 90.00
_cell_angle_beta 90.24
_cell_angle_gamma 90.00
loop_
_atom_site_label
_atom_site_type_symbol
_atom_site_fract_x
_atom_site_fract_y
_atom_site_fract_z
Ca1 Ca 0.250 0.250 0.000
Zr1 Zr 0.000 0.000 0.500
Tl1 Tl 0.000 0.500 0.500
```

9.
## Ca2ZrTl (PBE-GGA)

Data for crystalline Ca2ZrTl at its relaxed geometry.

## Properties
ΔE to the lowest computed polymorph = 0.088 eV per atom
spin magnetization = 2.4 μB/cell
theoretical density = 5.59 g cm⁻³

```
data_Ca2ZrTl
_symmetry_space_group_name_H-M 'I 4/m m m'
_symmetry_Int_Tables_number 139
_symmetry_space_group_name_Hall '-I 4 2'
_cell_length_a 4.674
_cell_length_b 4.674
_cell_length_c 10.209
_cell_angle_alpha 90.00
_cell_angle_beta 90.00
_cell_angle_gamma 90.00
loop_
_atom_site_label
_atom_site_type_symbol
_atom_site_fract_x
_atom_site_fract_y
_atom_site_fract_z
Ca1 Ca 0.000 0.500 0.250
Zr1 Zr 0.000 0.000 0.000
Tl1 Tl 0.000 0.000 0.500
```

10.
## CaZr2Tl2 (PBE-GGA)

Data for crystalline CaZr2Tl2 at its relaxed geometry.

## Properties
ΔE to the lowest computed polymorph = 0.000 eV per atom
spin magnetization = 0.0 μB/cell
theoretical density = 8.06 g cm⁻³

```
data_CaZr2Tl2
_symmetry_space_group_name_H-M 'P 4/m b m'
_symmetry_Int_Tables_number 127
_symmetry_space_group_name_Hall '-P 4 2ab'
_cell_length_a 8.804
_cell_length_b 8.804
_cell_length_c 3.358
_cell_angle_alpha 90.00
_cell_angle_beta 90.00
_cell_angle_gamma 90.00
loop_
_atom_site_label
_atom_site_type_symbol
_atom_site_fract_x
_atom_site_fract_y
_atom_site_fract_z
Ca1 Ca 0.000 0.000 0.000
Zr1 Zr 0.126 0.374 0.500
Tl1 Tl 0.171 0.671 0.000
```

11.
## CaZrTl2 (PBE-GGA)

Data for crystalline CaZrTl2 at its relaxed geometry.

## Properties
spin magnetization = 0.0 μB/cell
theoretical density = 8.90 g cm⁻³

```
data_CaZrTl2
_symmetry_space_group_name_H-M 'C m m m'
_symmetry_Int_Tables_number 65
_symmetry_space_group_name_Hall '-C 2 2'
_cell_length_a 7.055
_cell_length_b 8.572
_cell_length_c 3.331
_cell_angle_alpha 90.00
_cell_angle_beta 90.00
_cell_angle_gamma 90.00
loop_
_atom_site_label
_atom_site_type_symbol
_atom_site_fract_x
_atom_site_fract_y
_atom_site_fract_z
Ca1 Ca 0.000 0.000 0.000
Zr1 Zr 0.000 0.500 0.000
Tl1 Tl 0.250 0.250 0.500
```

12.
## Ca2ZrTl (PBE-GGA)

Data for crystalline Ca2ZrTl at its relaxed geometry.

## Properties
ΔE to the lowest computed polymorph = 0.098 eV per atom
spin magnetization = 0.0 μB/cell
theoretical density = 5.48 g cm⁻³

```
data_Ca2ZrTl
_symmetry_space_group_name_H-M 'I m m m'
_symmetry_Int_Tables_number 71
_symmetry_space_group_name_Hall '-I 2 2'
_cell_length_a 3.776
_cell_length_b 5.350
_cell_length_c 11.276
_cell_angle_alpha 90.00
_cell_angle_beta 90.00
_cell_angle_gamma 90.00
loop_
_atom_site_label
_atom_site_type_symbol
_atom_site_fract_x
_atom_site_fract_y
_atom_site_fract_z
Ca1 Ca 0.000 0.000 0.234
Zr1 Zr 0.000 0.500 0.000
Tl1 Tl 0.000 0.500 0.500
```

| no. | DFT formation energy (eV/atom) |
| --- | --- |
| 1 | 0.029 |
| 2 | -0.068 |
| 3 | -0.093 |
| 4 | 0.074 |
| 5 | 0.079 |
| 6 | -0.028 |
| 7 | 0.156 |
| 8 | 0.126 |
| 9 | 0.121 |
| 10 | -0.030 |
| 11 | -0.146 |
| 12 | 0.131 |